No. 1
Material: LiTlGaAu
Method: DFT, PBE-GGA
State: relaxed

Unit cell a=6.798 b=6.798 c=6.798 alpha=90.00 beta=90.00 gamma=90.00
Space group F-43m (No. 216)
Asymmetric unit:
Li: 0.000 0.000 0.000 x4
Tl: 0.250 0.250 0.750 x4
Ga: 0.000 0.000 0.500 x4
Au: 0.250 0.250 0.250 x4

Summary:
Energy of formation from the pure elements (eV/atom): -0.1927

No. 2
Material: Ta2AsI
Method: DFT, PBE-GGA
State: relaxed

Unit cell a=4.778 b=4.778 c=16.743 alpha=90.00 beta=90.00 gamma=90.00
Space group I-42d (No. 122)
Asymmetric unit:
Ta: 0.182 0.250 0.125 x8
As: 0.000 0.000 0.000 x4
I: 0.000 0.000 0.500 x4

Summary:
Uncorrected formation energy (kJ per mole of atoms): 69

No. 3
Material: LaTa3In
Method: DFT, PBE-GGA
State: relaxed

Unit cell a=5.145 b=5.145 c=5.145 alpha=90.00 beta=90.00 gamma=90.00
Space group Pm-3m (No. 221)
Asymmetric unit:
La: 0.000 0.000 0.000 x1
Ta: 0.000 0.500 0.500 x3
In: 0.500 0.500 0.500 x1

Summary:
Excess energy over the best structure of this formula in the dataset (eV/atom): 0.000
Energy of formation from the pure elements (eV/atom): 1.6962

No. 4
Material: NaLiIrBr2
Method: DFT, PBE-GGA
State: relaxed

Unit cell a=5.467 b=5.467 c=5.402 alpha=90.00 beta=90.00 gamma=90.00
Space group P4/mmm (No. 123)
Asymmetric unit:
Na: 0.000 0.000 0.000 x1
Li: 0.500 0.500 0.500 x1
Ir: 0.000 0.000 0.500 x1
Br: 0.000 0.500 0.000 x2

Summary:
Uncorrected formation energy (kJ per mole of atoms): 49

| no. | uncorrected energy (eV per atom) |
| --- | --- |
| 1 | -2.84 |
| 2 | -6.76 |
| 3 | -6.95 |
| 4 | -2.58 |